{
  "formula": "BC",
  "functional": "PBE-GGA",
  "state": "relaxed",
  "cell": [[4.7653, 0.0000, 0.0000], [0.0000, 2.5730, 0.0000], [-2.0239, 0.0000, 4.4219]],
  "species": ["B", "B", "B", "B", "C", "C", "C", "C"],
  "frac_coords": [[0.0000, 0.0000, 0.0000], [0.0842, 0.0000, 0.3944], [0.4398, 0.5000, 0.0247], [0.5538, 0.0000, 0.8383], [0.0695, 0.5000, 0.8564], [0.4737, 0.0000, 0.4889], [0.5861, 0.5000, 0.3854], [0.9406, 0.5000, 0.5171]],
  "polymorph_energy_mev_per_atom": 254.9,
  "space_group": "No. 6"
}

{
  "formula": "B7C5",
  "functional": "PBE-GGA",
  "state": "relaxed",
  "cell": [[2.7149, 0.0000, 0.0000], [0.0000, 6.4618, 0.0000], [0.0000, 0.0000, 4.4822]],
  "species": ["B", "B", "B", "B", "B", "B", "B", "C", "C", "C", "C", "C"],
  "frac_coords": [[0.0000, 0.0000, 0.0000], [0.0000, 0.1815, 0.3074], [0.0000, 0.5000, 0.2994], [0.0000, 0.8185, 0.3074], [0.5000, 0.0000, 0.7405], [0.5000, 0.3327, 0.8072], [0.5000, 0.6673, 0.8072], [0.0000, 0.3188, 0.9992], [0.0000, 0.6812, 0.9992], [0.5000, 0.1822, 0.4912], [0.5000, 0.5000, 0.4985], [0.5000, 0.8178, 0.4912]],
  "polymorph_energy_mev_per_atom": 233.6,
  "space_group": "No. 25"
}

{
  "formula": "B3C",
  "functional": "PBE-GGA",
  "state": "relaxed",
  "cell": [[7.3270, -1.1802, 0.0000], [7.3270, 1.1802, 0.0000], [-0.8193, 0.0000, 4.8155]],
  "species": ["B", "B", "B", "B", "B", "B", "B", "B", "B", "C", "C", "C"],
  "frac_coords": [[0.0000, 0.0000, 0.0000], [0.0018, 0.0018, 0.4647], [0.0850, 0.0850, 0.7760], [0.3134, 0.3134, 0.1547], [0.3198, 0.3198, 0.6292], [0.4053, 0.4053, 0.9530], [0.4102, 0.4102, 0.4184], [0.7223, 0.7223, 0.1000], [0.7244, 0.7244, 0.5897], [0.0874, 0.0874, 0.2767], [0.6462, 0.6462, 0.3064], [0.6571, 0.6571, 0.8100]],
  "polymorph_energy_mev_per_atom": 190.8,
  "space_group": "No. 8"
}

{
  "formula": "B7C5",
  "functional": "PBE-GGA",
  "state": "relaxed",
  "cell": [[4.0113, -1.3354, 0.0000], [4.0113, 1.3354, 0.0000], [-3.0726, 0.0000, 7.4577]],
  "species": ["B", "B", "B", "B", "B", "B", "B", "C", "C", "C", "C", "C"],
  "frac_coords": [[0.0000, 0.0000, 0.0000], [0.1771, 0.1771, 0.7945], [0.4645, 0.4645, 0.2153], [0.5150, 0.5150, 0.4615], [0.6952, 0.6952, 0.3274], [0.8052, 0.8052, 0.0957], [0.9064, 0.9064, 0.7328], [0.1060, 0.1060, 0.5728], [0.3013, 0.3013, 0.4220], [0.3143, 0.3143, 0.6178], [0.6004, 0.6004, 0.0958], [0.7791, 0.7791, 0.8833]],
  "polymorph_energy_mev_per_atom": 202.2,
  "space_group": "No. 8"
}

{
  "formula": "BC",
  "functional": "PBE-GGA",
  "state": "relaxed",
  "cell": [[4.3734, -1.2244, 0.0000], [4.3734, 1.2244, 0.0000], [-4.2332, 0.0000, 7.4002]],
  "species": ["B", "B", "B", "B", "B", "B", "C", "C", "C", "C", "C", "C"],
  "frac_coords": [[0.0000, 0.0000, 0.0000], [0.0398, 0.0398, 0.4978], [0.3013, 0.3013, 0.6375], [0.5014, 0.5014, 0.8521], [0.5267, 0.5267, 0.3320], [0.8306, 0.8306, 0.5012], [0.1698, 0.1698, 0.7199], [0.1905, 0.1905, 0.1891], [0.3357, 0.3357, 0.1338], [0.6675, 0.6675, 0.8200], [0.6913, 0.6913, 0.2889], [0.8326, 0.8326, 0.0289]],
  "polymorph_energy_mev_per_atom": 236.8,
  "space_group": "No. 8"
}

{
  "formula": "B3C5",
  "functional": "PBE-GGA",
  "state": "relaxed",
  "cell": [[1.2729, 0.7349, 9.1787], [-1.2729, 0.7349, 9.1787], [0.0000, -1.4698, 9.1787]],
  "species": ["B", "B", "B", "C", "C", "C", "C", "C"],
  "frac_coords": [[0.0000, 0.0000, 0.0000], [0.0616, 0.0616, 0.0616], [0.2944, 0.2944, 0.2944], [0.2369, 0.2369, 0.2369], [0.4953, 0.4953, 0.4953], [0.5515, 0.5515, 0.5515], [0.7549, 0.7549, 0.7549], [0.8092, 0.8092, 0.8092]],
  "polymorph_energy_mev_per_atom": 122.0,
  "space_group": "No. 160"
}